Density functional theory data (PBE) for crystalline Rb2NpS2I2 at its relaxed geometry.

The value obtained for the formation energy from raw total energies is -1.3186 eV per atom. The calculation puts the calculated volume at 37.68 Å³/atom.

extended XYZ file:
```
7
Lattice="-2.6400 2.6400 9.4622 2.6400 -2.6400 9.4622 2.6400 2.6400 -9.4622" Properties=species:S:1:pos:R:3 pbc="T T T"
Rb 0.0000 0.0000 2.3989
Rb 0.0000 0.0000 16.5255
Np 0.0000 0.0000 9.4622
S 2.6400 0.0000 0.0000
S 0.0000 2.6400 0.0000
I 0.0000 0.0000 6.3212
I 0.0000 0.0000 12.6032
```